P.
Here is La6Nd2Er after structural relaxation from Alexandria via LeMat-Bulk. Energies are from PBE-GGA.

a = 3.6778 Å, b = 3.6778 Å, c = 27.7260 Å
α = 90.00°, β = 90.00°, γ = 120.00°
Fractional coordinates of all 9 atoms:
La (0.3333, 0.6667, 0.7820)
La (0.3333, 0.6667, 0.4379)
La (0.6667, 0.3333, 0.1042)
La (0.3333, 0.6667, 0.2180)
La (0.6667, 0.3333, 0.8958)
La (0.3333, 0.6667, 0.5621)
Nd (0.6667, 0.3333, 0.3297)
Nd (0.6667, 0.3333, 0.6703)
Er (0.3333, 0.6667, 0.0000)

Summary:
Density (g/cm3): 6.59
Space group: No. 187
Total magnetization (μB per formula unit): 0.00

=====

Q.
Here is La6Nd2Er after structural relaxation from Alexandria via LeMat-Bulk. Energies are from PBE-GGA.

a = 3.7065 Å, b = 10.2531 Å, c = 10.2531 Å
α = 55.78°, β = 90.00°, γ = 90.00°
Fractional coordinates of all 9 atoms:
La (0.5000, 0.6808, 0.3192)
La (0.5000, 0.3192, 0.6808)
La (0.0000, 0.5073, 0.1642)
La (0.0000, 0.4927, 0.8358)
La (0.0000, 0.8358, 0.4927)
La (0.0000, 0.1642, 0.5073)
Er (0.0000, 0.0000, 0.0000)
Nd (0.5000, 0.1716, 0.1716)
Nd (0.5000, 0.8284, 0.8284)

Summary:
Density (g/cm3): 6.64
Space group: No. 65
Total magnetization (μB per formula unit): 0.00

=====

Referenced to the most stable arrangement, the calculated values in eV/atom are P 0.000; Q 0.059.

=====

P.
Here is La3Nd2Er4 after structural relaxation from Alexandria via LeMat-Bulk. Energies are from PBE-GGA.

a = 6.2459 Å, b = 5.1548 Å, c = 10.8943 Å
α = 90.02°, β = 106.07°, γ = 114.32°
Fractional coordinates of all 9 atoms:
Nd (0.6682, 0.3343, 0.7809)
Nd (0.3318, 0.6657, 0.2191)
Er (0.0011, 0.0006, 0.6671)
Er (0.6685, 0.3342, 0.1109)
Er (0.9989, 0.9994, 0.3329)
Er (0.3315, 0.6658, 0.8891)
La (0.3337, 0.6672, 0.5584)
La (0.6663, 0.3328, 0.4416)
La (0.0000, 0.0000, 0.0000)

Summary:
Density (g/cm3): 7.49
Space group: No. 12
Total magnetization (μB per formula unit): 0.00

=====

Q.
Here is La3Nd2Er4 after structural relaxation from Alexandria via LeMat-Bulk. Energies are from PBE-GGA.

a = 6.2067 Å, b = 11.3382 Å, c = 11.3382 Å
α = 63.35°, β = 63.34°, γ = 63.34°
Fractional coordinates of all 18 atoms:
Er (0.9002, 0.8470, 0.6124)
Er (0.5998, 0.3876, 0.1530)
Er (0.0725, 0.8276, 0.0595)
Er (0.4275, 0.9405, 0.1724)
Er (0.5725, 0.0595, 0.8276)
Er (0.9275, 0.1724, 0.9405)
Er (0.0998, 0.1530, 0.3876)
Er (0.4002, 0.6124, 0.8470)
La (0.7280, 0.6973, 0.9804)
La (0.2500, 0.6229, 0.3771)
La (0.7500, 0.3771, 0.6229)
La (0.2280, 0.9804, 0.6973)
La (0.7720, 0.0196, 0.3027)
La (0.2720, 0.3027, 0.0196)
Nd (0.5616, 0.7486, 0.4812)
Nd (0.4384, 0.2514, 0.5188)
Nd (0.9384, 0.5188, 0.2514)
Nd (0.0616, 0.4812, 0.7486)

Summary:
Density (g/cm3): 7.53
Space group: No. 15
Total magnetization (μB per formula unit): 0.00

=====

Referenced to the most stable arrangement, the calculated values in eV/atom are P 0.000; Q 0.067.

=====

P.
Here is LaNd3Er3 after structural relaxation from Alexandria via LeMat-Bulk. Energies are from PBE-GGA.

a = 8.2830 Å, b = 8.2830 Å, c = 8.2830 Å
α = 69.39°, β = 69.39°, γ = 69.39°
Fractional coordinates of all 14 atoms:
La (0.4099, 0.4099, 0.4099)
La (0.5901, 0.5901, 0.5901)
Nd (0.2683, 0.8379, 0.1246)
Nd (0.1621, 0.8754, 0.7317)
Nd (0.1246, 0.2683, 0.8379)
Nd (0.8754, 0.7317, 0.1621)
Nd (0.8379, 0.1246, 0.2683)
Nd (0.7317, 0.1621, 0.8754)
Er (0.6922, 0.5529, 0.9749)
Er (0.9749, 0.6922, 0.5529)
Er (0.0251, 0.3078, 0.4471)
Er (0.4471, 0.0251, 0.3078)
Er (0.3078, 0.4471, 0.0251)
Er (0.5529, 0.9749, 0.6922)

Summary:
Density (g/cm3): 7.42
Space group: No. 148
Total magnetization (μB per formula unit): 0.00

=====

Q.
Here is LaNd3Er3 after structural relaxation from Alexandria via LeMat-Bulk. Energies are from PBE-GGA.

a = 5.8118 Å, b = 9.6950 Å, c = 9.6950 Å
α = 120.00°, β = 90.00°, γ = 90.00°
Fractional coordinates of all 14 atoms:
Nd (0.7500, 0.9046, 0.3789)
Nd (0.7500, 0.4743, 0.0954)
Nd (0.7500, 0.6211, 0.5257)
Nd (0.2500, 0.3789, 0.4743)
Nd (0.2500, 0.0954, 0.6211)
Nd (0.2500, 0.5257, 0.9046)
Er (0.2500, 0.8146, 0.7693)
Er (0.2500, 0.2307, 0.0452)
Er (0.7500, 0.1854, 0.2307)
Er (0.7500, 0.7693, 0.9548)
Er (0.2500, 0.9548, 0.1854)
Er (0.7500, 0.0452, 0.8146)
La (0.2500, 0.6667, 0.3333)
La (0.7500, 0.3333, 0.6667)

Summary:
Density (g/cm3): 7.54
Space group: No. 176
Total magnetization (μB per formula unit): 0.00

=====

Referenced to the most stable arrangement, the calculated values in eV/atom are P 0.104; Q 0.000.

=====

P.
Here is LaNd8Er6 after structural relaxation from Alexandria via LeMat-Bulk. Energies are from PBE-GGA.

a = 9.1206 Å, b = 9.1206 Å, c = 8.7846 Å
α = 58.73°, β = 58.73°, γ = 60.00°
Fractional coordinates of all 15 atoms:
Nd (0.2465, 0.8857, 0.5827)
Nd (0.7535, 0.1143, 0.4173)
Nd (0.7149, 0.7535, 0.4173)
Nd (0.5781, 0.5781, 0.2657)
Nd (0.8857, 0.2851, 0.5827)
Nd (0.1143, 0.7149, 0.4173)
Nd (0.4219, 0.4219, 0.7343)
Nd (0.2851, 0.2465, 0.5827)
Er (0.9056, 0.4664, 0.8812)
Er (0.5336, 0.2532, 0.1188)
Er (0.2532, 0.0944, 0.1188)
Er (0.4664, 0.7468, 0.8812)
Er (0.0944, 0.5336, 0.1188)
Er (0.7468, 0.9056, 0.8812)
La (0.0000, 0.0000, 0.0000)

Summary:
Density (g/cm3): 7.53
Space group: No. 148
Total magnetization (μB per formula unit): 0.00

=====

Q.
Here is LaNd8Er6 after structural relaxation from Alexandria via LeMat-Bulk. Energies are from PBE-GGA.

a = 9.8467 Å, b = 9.8467 Å, c = 8.2837 Å
α = 53.53°, β = 53.53°, γ = 60.00°
Fractional coordinates of all 15 atoms:
Er (0.6061, 0.0743, 0.0332)
Er (0.2864, 0.6061, 0.0332)
Er (0.9257, 0.7136, 0.9668)
Er (0.7136, 0.3939, 0.9668)
Er (0.0743, 0.2864, 0.0332)
Er (0.3939, 0.9257, 0.9668)
Nd (0.0693, 0.6398, 0.5161)
Nd (0.2252, 0.9307, 0.4839)
Nd (0.6398, 0.7748, 0.5161)
Nd (0.9307, 0.3602, 0.4839)
Nd (0.5859, 0.5859, 0.2424)
Nd (0.4141, 0.4141, 0.7576)
Nd (0.3602, 0.2252, 0.4839)
Nd (0.7748, 0.0693, 0.5161)
La (0.0000, 0.0000, 0.0000)

Summary:
Density (g/cm3): 7.54
Space group: No. 148
Total magnetization (μB per formula unit): 0.00

=====

Referenced to the most stable arrangement, the calculated values in eV/atom are P 0.000; Q 0.043.

=====

P.
Here is La3NdEr2 after structural relaxation from Alexandria via LeMat-Bulk. Energies are from PBE-GGA.

a = 3.5016 Å, b = 6.0279 Å, c = 10.5111 Å
α = 106.66°, β = 99.59°, γ = 90.00°
Fractional coordinates of all 6 atoms:
Er (0.3625, 0.3625, 0.7250)
Er (0.6375, 0.6375, 0.2750)
Nd (0.0000, 0.0000, 0.0000)
La (0.8110, 0.8110, 0.6219)
La (0.0000, 0.5000, 0.0000)
La (0.1890, 0.1890, 0.3781)

Summary:
Density (g/cm3): 7.10
Space group: No. 71
Total magnetization (μB per formula unit): 0.00

=====

Q.
Here is La3NdEr2 after structural relaxation from Alexandria via LeMat-Bulk. Energies are from PBE-GGA.

a = 6.5811 Å, b = 7.3097 Å, c = 10.1165 Å
α = 111.21°, β = 108.98°, γ = 90.00°
Fractional coordinates of all 12 atoms:
La (0.2325, 0.2500, 0.0000)
La (0.1864, 0.9298, 0.3599)
La (0.8136, 0.0702, 0.6401)
La (0.1735, 0.4298, 0.3599)
La (0.7675, 0.7500, 0.0000)
La (0.8265, 0.5702, 0.6401)
Er (0.3539, 0.8538, 0.7078)
Er (0.3539, 0.3538, 0.7078)
Er (0.6461, 0.1462, 0.2922)
Er (0.6461, 0.6462, 0.2922)
Nd (0.7329, 0.2500, 0.0000)
Nd (0.2671, 0.7500, 0.0000)

Summary:
Density (g/cm3): 6.99
Space group: No. 74
Total magnetization (μB per formula unit): 0.00

=====

Referenced to the most stable arrangement, the calculated values in eV/atom are P 0.164; Q 0.000.

=====

P.
Here is La3NdEr after structural relaxation from Alexandria via LeMat-Bulk. Energies are from PBE-GGA.

a = 6.9045 Å, b = 6.2066 Å, c = 9.4076 Å
α = 107.13°, β = 111.53°, γ = 90.00°
Fractional coordinates of all 10 atoms:
Nd (0.0000, 0.5000, 0.0000)
Nd (0.0000, 0.0000, 0.0000)
Er (0.5520, 0.2974, 0.1040)
Er (0.4480, 0.7026, 0.8960)
La (0.5753, 0.1004, 0.6911)
La (0.7783, 0.5405, 0.5566)
La (0.4247, 0.8996, 0.3089)
La (0.1158, 0.1004, 0.6911)
La (0.2217, 0.4595, 0.4434)
La (0.8842, 0.8996, 0.3089)

Summary:
Density (g/cm3): 6.80
Space group: No. 12
Total magnetization (μB per formula unit): 0.00

=====

Q.
Here is La3NdEr after structural relaxation from Alexandria via LeMat-Bulk. Energies are from PBE-GGA.

a = 6.0530 Å, b = 5.7750 Å, c = 12.0772 Å
α = 90.00°, β = 90.00°, γ = 121.61°
Fractional coordinates of all 10 atoms:
La (0.6466, 0.2933, 0.4009)
La (0.3534, 0.7067, 0.5991)
La (0.6466, 0.2933, 0.0991)
La (0.3534, 0.7067, 0.9009)
La (0.0521, 0.1042, 0.7500)
La (0.9479, 0.8958, 0.2500)
Nd (0.0000, 0.0000, 0.0000)
Nd (0.0000, 0.0000, 0.5000)
Er (0.7035, 0.4071, 0.7500)
Er (0.2965, 0.5929, 0.2500)

Summary:
Density (g/cm3): 6.73
Space group: No. 63
Total magnetization (μB per formula unit): 0.00

=====

Referenced to the most stable arrangement, the calculated values in eV/atom are P 0.000; Q 0.037.